# ErZnGa4

A relaxed ErZnGa4 crystal (PBE, the Alexandria database).

## Properties
Symmetry: P-1
Total magnetic moment: 0.00 μB/cell
E above lowest polymorph: 0 meV/atom
Crystal system: triclinic
Calculated formation energy: -0.311 eV per atom
Density: 7.57 Mg/m³

Unit cell a=4.2324 b=5.6198 c=5.6216 alpha=70.56 beta=68.35 gamma=67.92
With the nearest neighbours (Å) after each atom.
Atoms (fractional coordinates):
1 Er 0.0000 0.0000 0.0000  12 Ga 3.08-3.14, 2 Zn 3.25
2 Zn 0.0000 0.5000 0.5000  8 Ga 2.84-2.87
3 Ga 0.3365 0.4501 0.8743  4 Ga 2.60-2.75, 2 Zn 2.84-2.87
4 Ga 0.3379 0.8733 0.4501  4 Ga 2.61-2.75, 2 Zn 2.84-2.85
5 Ga 0.6621 0.1267 0.5499  4 Ga 2.61-2.75, 2 Zn 2.84-2.85
6 Ga 0.6635 0.5499 0.1257  4 Ga 2.60-2.75, 2 Zn 2.84-2.87